Entry 1:
The following is a DFT calculation (PBE with a Hubbard U) of a relaxed RbNiBF6 crystal.

Geometry as POSCAR:
```
RbNiBF6
1.0
-2.832 1.730 3.839
-5.239 0.415 -0.701
-0.432 -5.881 1.618
Rb F Ni B
1 6 1 1
Direct
0.975 0.050 0.000 Rb
0.125 0.392 0.363 F
0.888 0.612 0.774 F
0.328 0.039 0.626 F
0.633 0.040 0.374 F
0.482 0.392 0.637 F
0.499 0.614 0.226 F
0.683 0.634 0.500 Ni
0.387 0.225 0.500 B
```

Entry 2:
The following is a DFT calculation (PBE with a Hubbard U) of a relaxed Ta2NiBF crystal.

Geometry as POSCAR:
```
Ta2NiBF
1.0
-1.557 -4.359 -0.415
2.447 -0.648 -2.373
2.903 -1.357 3.365
F Ni Ta B
1 1 2 1
Direct
0.000 0.500 0.000 F
0.000 0.000 0.000 Ni
0.500 0.000 0.000 Ta
0.000 0.000 0.500 Ta
0.500 0.500 0.500 B
```

Number 1: final energy -44.5 eV/f.u., mass density 3.10 g cm⁻³. Number 2: final energy -28.8 eV/f.u., mass density 9.98 g cm⁻³.